The following is a DFT calculation (PBE with a Hubbard U) of an optimized crystal structure of NaMnTeO6.

a = 5.1342 Å, b = 5.1342 Å, c = 10.4018 Å
α = 90.00°, β = 90.00°, γ = 120.00°
Closest atoms and distances in Å follow each position.
Element x y z (fractional)
1 Na 0.0000 0.0000 0.0000  6 O 2.45
2 Na 0.0000 0.0000 0.5000  6 O 2.45
3 Mn 0.6667 0.3333 0.2500  6 O 1.93
4 Mn 0.3333 0.6667 0.7500  6 O 1.93
5 Te 0.3333 0.6667 0.2500  6 O 1.96
6 Te 0.6667 0.3333 0.7500  6 O 1.96
7 O 0.6291 0.6254 0.1468  1 Mn 1.93, 1 Te 1.96
8 O 0.9963 0.3709 0.1468  1 Mn 1.93, 1 Te 1.96
9 O 0.3709 0.9963 0.6468  1 Mn 1.93, 1 Te 1.96
10 O 0.0037 0.6291 0.8532  1 Mn 1.93, 1 Te 1.96
11 O 0.3746 0.3709 0.3532  1 Mn 1.93, 1 Te 1.96
12 O 0.9963 0.6254 0.3532  1 Mn 1.93, 1 Te 1.96
13 O 0.6254 0.9963 0.8532  1 Mn 1.93, 1 Te 1.96
14 O 0.6291 0.0037 0.3532  1 Mn 1.93, 1 Te 1.96
15 O 0.0037 0.3746 0.6468  1 Mn 1.93, 1 Te 1.96
16 O 0.3746 0.0037 0.1468  1 Mn 1.93, 1 Te 1.96
17 O 0.6254 0.6291 0.6468  1 Mn 1.93, 1 Te 1.96
18 O 0.3709 0.3746 0.8532  1 Mn 1.93, 1 Te 1.96

- E (eV per cell) = -103.6
- magnetic moment (μB/f.u.) = 2.0